The following is a DFT calculation (PBE) of an optimized crystal structure of MgScGaO4.

Cell and atoms, written as POSCAR:
```
MgScGaO4
1.0
-2.039 2.555 -5.043
-5.901 -0.294 -1.344
-3.359 5.032 0.327
O Mg Sc Ga
8 2 2 2
direct
0.246 0.761 0.747
0.240 0.753 0.253
0.754 0.239 0.253
0.754 0.753 0.739
0.760 0.247 0.747
0.754 0.753 0.253
0.246 0.247 0.261
0.246 0.247 0.747
0.000 0.000 0.500
0.500 0.000 0.500
0.000 0.000 0.000
0.000 0.500 0.500
0.630 0.620 0.120
0.370 0.380 0.880
```

**N(E_F)**: 0.000 states/eV/atom
**Formation energy from raw total energies**: -2.6979 eV/atom
**Calculated volume**: 78.8 Å³/f.u.

---

The following is a DFT calculation (PBE) of an optimized crystal structure of YCdAu2Cl.

Cell and atoms, written as POSCAR:
```
YCdAu2Cl
1.0
4.938 0.000 0.000
0.000 4.938 0.000
0.000 0.000 5.389
Au Cd Y Cl
2 1 1 1
direct
0.000 0.500 0.000
0.500 0.000 0.000
0.000 0.000 0.500
0.500 0.500 0.500
0.000 0.000 0.000
```

**N(E_F)**: 0.430 states/eV/atom
**Formation energy from raw total energies**: 0.3790 eV/atom
**Calculated volume**: 131.4 Å³/f.u.

---

The following is a DFT calculation (PBE) of an optimized crystal structure of TlH2W.

Cell and atoms, written as POSCAR:
```
TlH2W
1.0
-3.803 -4.322 0.401
1.232 -1.586 -5.410
0.796 -4.695 -1.520
W H Tl
2 4 2
direct
0.500 0.500 0.000
0.250 0.750 0.500
0.875 0.774 0.750
0.226 0.625 0.250
0.524 0.125 0.250
0.375 0.476 0.750
0.000 0.000 0.000
0.750 0.250 0.500
```

**N(E_F)**: 0.652 states/eV/atom
**ΔE to the lowest computed polymorph**: 0.0000 eV per atom
**Calculated volume**: 48.1 Å³/f.u.

---

The following is a DFT calculation (PBE) of an optimized crystal structure of BeCoTc2.

Cell and atoms, written as POSCAR:
```
BeCoTc2
1.0
3.874 0.000 0.000
0.000 3.557 0.000
0.000 0.000 3.557
Tc Be Co
2 1 1
direct
0.000 0.500 0.500
0.000 0.000 0.000
0.500 0.500 0.000
0.500 0.000 0.500
```

**N(E_F)**: 0.886 states/eV/atom
**ΔE to the lowest computed polymorph**: 0.1595 eV per atom
**Formation energy from the elements**: 0.0979 eV per atom
**Calculated volume**: 49.0 Å³/f.u.

---

The following is a DFT calculation (PBE) of an optimized crystal structure of NiTeRu2.

Cell and atoms, written as POSCAR:
```
NiTeRu2
1.0
-0.058 3.911 -2.463
-2.716 3.608 -0.985
1.475 2.988 3.264
Ni Te Ru
1 1 2
direct
0.745 0.745 0.768
0.498 0.498 0.520
0.255 0.255 0.225
0.002 0.002 0.988
```

**N(E_F)**: 1.300 states/eV/atom
**Formation energy from raw total energies**: 0.3385 eV/atom
**Calculated volume**: 61.2 Å³/f.u.

---

The following is a DFT calculation (PBE) of an optimized crystal structure of Pr3SmDy2Y6.

Cell and atoms, written as POSCAR:
```
Pr3SmDy2Y6
1.0
-1.442 -6.086 0.186
5.781 1.796 -1.583
1.771 1.007 11.716
Pr Y Dy Sm
3 6 2 1
direct
0.500 0.500 0.500
0.833 0.167 0.500
0.167 0.833 0.500
0.082 0.416 0.247
0.251 0.251 0.753
0.584 0.918 0.753
0.918 0.584 0.753
0.749 0.749 0.247
0.416 0.082 0.247
0.333 0.667 0.000
0.667 0.333 0.000
0.000 0.000 0.000
```

**N(E_F)**: 1.329 states/eV/atom
**Formation energy from the elements**: 0.0157 eV per atom
**Calculated volume**: 397.1 Å³/f.u.

---

The following is a DFT calculation (PBE) of an optimized crystal structure of LuThZnTc.

Cell and atoms, written as POSCAR:
```
LuThZnTc
1.0
4.987 0.000 0.000
2.493 4.319 0.000
2.493 1.440 4.072
Zn Lu Tc Th
1 1 1 1
direct
0.000 0.000 0.000
0.750 0.750 0.750
0.500 0.500 0.500
0.250 0.250 0.250
```

**N(E_F)**: 1.255 states/eV/atom
**Formation energy from the elements**: -0.1678 eV per atom
**Calculated volume**: 87.7 Å³/f.u.

---

The following is a DFT calculation (PBE) of an optimized crystal structure of YZr2Si2.

Cell and atoms, written as POSCAR:
```
YZr2Si2
1.0
-0.351 1.070 7.286
-1.200 -7.205 1.000
3.623 -0.567 0.258
Y Si Zr
2 4 4
direct
0.000 0.000 0.000
0.500 0.500 0.000
0.881 0.619 0.000
0.381 0.881 0.000
0.619 0.119 0.000
0.119 0.381 0.000
0.828 0.328 0.500
0.172 0.672 0.500
0.672 0.828 0.500
0.328 0.172 0.500
```

**N(E_F)**: 0.974 states/eV/atom
**ΔE to the lowest computed polymorph**: 0.0000 eV per atom
**Formation energy from raw total energies**: -0.7467 eV/atom
**Calculated volume**: 99.9 Å³/f.u.

---

The following is a DFT calculation (PBE) of an optimized crystal structure of Pu2Tl3Sn3.

Cell and atoms, written as POSCAR:
```
Pu2Tl3Sn3
1.0
-4.385 0.740 1.988
-2.001 -2.304 -3.556
0.789 -7.927 4.691
Tl Sn Pu
3 3 2
direct
0.500 0.500 0.749
0.500 0.500 0.251
0.500 0.000 0.000
0.000 0.500 0.500
0.000 0.500 0.000
0.500 0.000 0.500
0.000 0.000 0.256
0.000 0.000 0.744
```

**N(E_F)**: 2.669 states/eV/atom
**Formation energy from the elements**: -0.2010 eV per atom
**Calculated volume**: 211.0 Å³/f.u.

---

The following is a DFT calculation (PBE) of an optimized crystal structure of Rb3Dy3BiO8.

Cell and atoms, written as POSCAR:
```
Rb3Dy3BiO8
1.0
6.988 0.000 0.000
-3.494 6.052 -0.023
0.001 -4.012 6.672
Dy Rb O Bi
3 3 8 1
direct
0.000 0.500 0.500
0.500 0.000 0.500
0.500 0.500 0.500
0.000 0.000 0.000
0.000 0.500 0.000
0.500 0.500 0.000
0.778 0.556 0.328
0.277 0.554 0.332
0.272 0.050 0.328
0.222 0.444 0.672
0.222 0.950 0.672
0.728 0.950 0.672
0.778 0.050 0.328
0.723 0.446 0.668
0.000 0.000 0.500
```

**N(E_F)**: 0.155 states/eV/atom
**Formation energy from raw total energies**: -2.3892 eV/atom
**Calculated volume**: 281.5 Å³/f.u.

---

The following is a DFT calculation (PBE) of an optimized crystal structure of La3Ni4.

Cell and atoms, written as POSCAR:
```
La3Ni4
1.0
-2.639 4.780 -3.902
0.658 -6.256 -2.338
-3.875 -0.952 1.455
Ni La
4 3
direct
0.667 0.333 0.500
0.000 0.000 0.750
0.000 0.000 0.250
0.333 0.667 0.500
0.500 0.500 0.000
0.000 0.500 0.000
0.500 0.000 0.000
```

**N(E_F)**: 0.613 states/eV/atom
**ΔE to the lowest computed polymorph**: 0.7704 eV per atom
**Formation energy from the elements**: 0.2719 eV per atom
**Calculated volume**: 165.7 Å³/f.u.

---

The following is a DFT calculation (PBE) of an optimized crystal structure of NiAg2Cl.

Cell and atoms, written as POSCAR:
```
NiAg2Cl
1.0
-2.854 -0.426 -3.471
-0.757 -3.710 1.078
-2.954 1.264 2.274
Ag Cl Ni
2 1 1
direct
0.000 0.500 0.500
0.000 0.000 0.000
0.500 0.500 0.000
0.500 0.000 0.500
```

**N(E_F)**: 0.888 states/eV/atom
**ΔE to the lowest computed polymorph**: 0.3393 eV per atom
**Formation energy from raw total energies**: 0.3868 eV/atom
**Calculated volume**: 69.9 Å³/f.u.